Material: NaSnGeSe4
Method: DFT, PBE
State: optimized geometry

The spin magnetization is 0.0 μB per cell. The value obtained for the density of states at the Fermi level is 0.154 states/eV/atom. As for the raw formation energy: -2.7 eV per formula unit.

The structure belongs to space group P2_1/m (No. 11); the cell edges are 7.486, 5.995 and 8.554 Å and the angles 90.00°, 106.67° and 90.00°. The inequivalent atoms are Na at (0.234, 0.250, 0.423), Sn at (0.257, 0.250, 0.954), Ge at (0.234, 0.750, 0.680), Se at (0.089, 0.750, 0.894), Se at (0.092, 0.750, 0.401) and Se at (0.498, 0.013, 0.759).

---

Material: NaSn2GeSe4
Method: DFT, PBE
State: optimized geometry

The spin magnetization is 0.0 μB per cell. The value obtained for the density of states at the Fermi level is 0.486 states/eV/atom. As for the raw formation energy: -3.9 eV per formula unit.

The structure belongs to space group P2/m (No. 10); the cell edges are 7.172, 4.089 and 7.276 Å and the angles 90.00°, 108.85° and 90.00°. The inequivalent atoms are Na at (0.000, 0.000, 0.000), Sn at (0.500, 0.000, 0.500), Sn at (0.500, 0.500, 0.000), Ge at (0.000, 0.500, 0.500), Se at (0.240, 0.000, 0.736) and Se at (0.249, 0.500, 0.262).

---

Material: Na4Tb3GeSe8
Method: DFT, PBE
State: optimized geometry

The spin magnetization is 0.0 μB per cell. The value obtained for the density of states at the Fermi level is 0.110 states/eV/atom. As for the raw formation energy: -22.3 eV per formula unit.

The structure belongs to space group R-3m (No. 166, hexagonal axes); the cell edges are 8.2366, 8.2366 and 20.9703 Å and the angles 90.00°, 90.00° and 120.00°. The inequivalent atoms are Na at (0.0000, 0.0000, 0.0000), Na at (0.0000, 0.5000, 0.0000), Tb at (0.0000, 0.5000, 0.5000), Ge at (0.0000, 0.0000, 0.5000), Se at (0.0000, 0.0000, 0.2441) and Se at (0.0125, 0.5063, 0.2413).

---

Material: Na3Tb3GeSe8
Method: DFT, PBE
State: optimized geometry

The spin magnetization is 0.0 μB per cell. The value obtained for the density of states at the Fermi level is 0.164 states/eV/atom. As for the raw formation energy: -20.1 eV per formula unit.

The structure belongs to space group R-3m (No. 166, hexagonal axes); the cell edges are 8.1643, 8.1643 and 21.3127 Å and the angles 90.00°, 90.00° and 120.00°. The inequivalent atoms are Na at (0.0000, 0.5000, 0.0000), Tb at (0.0000, 0.5000, 0.5000), Ge at (0.0000, 0.0000, 0.5000), Se at (0.0000, 0.0000, 0.2433) and Se at (0.0262, 0.5131, 0.2387).

---

Material: Na2GeTeSe5
Method: DFT, PBE
State: optimized geometry

The spin magnetization is 0.0 μB per cell. The value obtained for the density of states at the Fermi level is 0.118 states/eV/atom. As for the raw formation energy: -4.5 eV per formula unit.

The structure belongs to space group Cmc2_1 (No. 36); the cell edges are 3.947, 18.662 and 13.354 Å and the angles 90.00°, 90.00° and 90.00°. The inequivalent atoms are Na at (0.000, 0.103, 0.000), Na at (0.000, 0.114, 0.668), Ge at (0.000, 0.433, 0.757), Te at (0.000, 0.224, 0.383), Se at (0.000, 0.043, 0.368), Se at (0.000, 0.268, 0.028), Se at (0.000, 0.306, 0.725), Se at (0.000, 0.355, 0.338) and Se at (0.000, 0.497, 0.609).

---

Material: NaGeTe2Se6
Method: DFT, PBE
State: optimized geometry

The spin magnetization is 0.0 μB per cell. The value obtained for the density of states at the Fermi level is 0.398 states/eV/atom. As for the raw formation energy: -1.4 eV per formula unit.

The structure belongs to space group C2/c (No. 15); the cell edges are 15.446, 11.284 and 8.812 Å and the angles 90.00°, 123.76° and 90.00°. The inequivalent atoms are Na at (0.000, 0.029, 0.250), Ge at (0.000, 0.286, 0.750), Te at (0.210, 0.323, 0.253), Se at (0.088, 0.171, 0.611), Se at (0.116, 0.444, 0.951) and Se at (0.154, 0.110, 0.158).

---

Material: Na2GeTeSe4
Method: DFT, PBE
State: optimized geometry

The spin magnetization is 0.0 μB per cell. The value obtained for the density of states at the Fermi level is 0.248 states/eV/atom. As for the raw formation energy: -3.9 eV per formula unit.

The structure belongs to space group Imma (No. 74); the cell edges are 8.315, 8.320 and 11.680 Å and the angles 90.00°, 90.00° and 90.00°. The inequivalent atoms are Na at (0.000, 0.000, 0.000), Na at (0.250, 0.250, 0.250), Ge at (0.250, 0.250, 0.750), Te at (0.000, 0.000, 0.500), Se at (0.000, 0.014, 0.741) and Se at (0.235, 0.250, 0.504).

---

Material: Na3ThGe2Se6
Method: DFT, PBE
State: optimized geometry

The spin magnetization is 0.0 μB per cell. The value obtained for the density of states at the Fermi level is 0.523 states/eV/atom. As for the raw formation energy: -11.4 eV per formula unit.

The structure belongs to space group C2/m (No. 12); the cell edges are 7.126, 12.340 and 7.370 Å and the angles 90.00°, 108.81° and 90.00°. The inequivalent atoms are Na at (0.000, 0.000, 0.000), Na at (0.000, 0.332, 0.000), Th at (0.000, 0.500, 0.500), Ge at (0.000, 0.167, 0.500), Se at (0.232, 0.000, 0.726) and Se at (0.247, 0.328, 0.725).

---

Material: Na2ThGeSe4
Method: DFT, PBE
State: optimized geometry

The spin magnetization is 0.0 μB per cell. The value obtained for the density of states at the Fermi level is 0.000 states/eV/atom. As for the raw formation energy: -9.4 eV per formula unit.

The structure belongs to space group P2/m (No. 10); the cell edges are 7.272, 4.245 and 7.313 Å and the angles 90.00°, 108.90° and 90.00°. The inequivalent atoms are Na at (0.000, 0.000, 0.000), Na at (0.500, 0.500, 0.000), Th at (0.000, 0.500, 0.500), Ge at (0.500, 0.000, 0.500), Se at (0.247, 0.000, 0.731) and Se at (0.259, 0.500, 0.274).

---

Material: NaTl2Ge2Se4
Method: DFT, PBE
State: optimized geometry

The spin magnetization is 0.0 μB per cell. The value obtained for the density of states at the Fermi level is 0.147 states/eV/atom. As for the raw formation energy: -3.6 eV per formula unit.

The structure belongs to space group C2/m (No. 12); the cell edges are 15.080, 4.957 and 7.283 Å and the angles 90.00°, 106.03° and 90.00°. The inequivalent atoms are Na at (0.000, 0.000, 0.000), Tl at (0.127, 0.000, 0.573), Ge at (0.169, 0.500, 0.023), Se at (0.031, 0.500, 0.748) and Se at (0.205, 0.000, 0.161).

---

Material: NaTl2GeSe4
Method: DFT, PBE
State: optimized geometry

The spin magnetization is 0.0 μB per cell. The value obtained for the density of states at the Fermi level is 0.511 states/eV/atom. As for the raw formation energy: -3.0 eV per formula unit.

The structure belongs to space group Imma (No. 74); the cell edges are 8.289, 8.436 and 11.658 Å and the angles 90.00°, 90.00° and 90.00°. The inequivalent atoms are Na at (0.000, 0.000, 0.000), Tl at (0.000, 0.000, 0.500), Tl at (0.250, 0.250, 0.250), Ge at (0.250, 0.250, 0.750), Se at (0.000, 0.028, 0.750) and Se at (0.246, 0.250, 0.515).

---

Material: Na2TlGeSe4
Method: DFT, PBE
State: optimized geometry

The spin magnetization is 0.0 μB per cell. The value obtained for the density of states at the Fermi level is 0.746 states/eV/atom. As for the raw formation energy: -4.6 eV per formula unit.

The structure belongs to space group I-42m (No. 121); the cell edges are 7.879, 7.879 and 7.361 Å and the angles 90.00°, 90.00° and 90.00°. The inequivalent atoms are Na at (0.000, 0.500, 0.250), Tl at (0.000, 0.000, 0.000), Ge at (0.000, 0.000, 0.500) and Se at (0.176, 0.176, 0.313).